Compound: Pm3Ga4Rh2
Source: Alexandria via LeMat-Bulk
Functional: PBE
Structure: relaxed Values from VASP.

The structure in Quantum ESPRESSO input format:
```
&SYSTEM
  ibrav = 0, nat = 9, ntyp = 3
/
ATOMIC_SPECIES
Pm 145.00 Pm.upf
Ga 69.72 Ga.upf
Rh 102.91 Rh.upf
ATOMIC_POSITIONS crystal
Pm 0.6261 0.2522 0.6924
Pm 0.0000 0.0000 0.0000
Pm 0.3739 0.7478 0.3076
Ga 0.7198 0.4396 0.0736
Ga 0.2802 0.5604 0.9264
Ga 0.9032 0.8063 0.5921
Ga 0.0968 0.1937 0.4079
Rh 0.6834 0.3667 0.3550
Rh 0.3166 0.6333 0.6450
CELL_PARAMETERS angstrom
-2.0146 -0.7104 -3.8094
-1.3944 -4.1259 4.0104
-5.0582 6.6138 1.4417
```

Values from the calculation:
Electronic total energy ... -5.30 eV/atom
Formation energy from the elements ... -0.740 eV per atom
Theoretical density ... 7.9 Mg/m³